Here is a crystal of MnSiSe3 relaxed with PBEsol from the Alexandria database. Energies are from meta-GGA SCAN.

The space group is Pm-3m (No. 221) and the conventional cell measures 4.763, 4.763 and 4.763 Å, with angles of 90.00, 90.00 and 90.00 degrees. The asymmetric unit holds Mn at (0.000, 0.000, 0.000), Si at (0.500, 0.500, 0.500) and Se at (0.000, 0.500, 0.500).

For the final energy, the calculation gives -17.492 eV per atom. The value obtained for the raw formation energy is 0.209 eV per atom. The value obtained for the density of states at the Fermi level is 2.3 states/eV per cell. Its energy relative to the lowest polymorph listed for this composition is 0 meV per atom.

---

Here is a crystal of ScBe2Re relaxed with PBEsol from the Alexandria database. Energies are from meta-GGA SCAN.

The space group is I4/mmm (No. 139) and the conventional cell measures 3.810, 3.810 and 6.918 Å, with angles of 90.00, 90.00 and 90.00 degrees. The asymmetric unit holds Sc at (0.000, 0.000, 0.000), Be at (0.000, 0.500, 0.250) and Re at (0.000, 0.000, 0.500).

For the final energy, the calculation gives -23.598 eV per atom. The value obtained for the density of states at the Fermi level is 2.0 states/eV per cell. Its energy relative to the lowest polymorph listed for this composition is 0 meV per atom. The calculation puts the calculated formation energy at -0.09 eV/atom.

---

Here is a crystal of Mg2SiTc relaxed with PBEsol from the Alexandria database. Energies are from meta-GGA SCAN.

The space group is Pm (No. 6) and the conventional cell measures 2.820, 4.344 and 5.482 Å, with angles of 90.00, 105.01 and 90.00 degrees. The asymmetric unit holds Mg at (0.000, 0.000, 0.000), Mg at (0.351, 0.500, 0.700), Si at (0.625, 0.500, 0.251) and Tc at (0.733, 0.000, 0.463).

For the final energy, the calculation gives -13.752 eV per atom. The value obtained for the raw formation energy is 0.004 eV per atom. The value obtained for the density of states at the Fermi level is 1.7 states/eV per cell.